Li8Fe3Co7O20, optimized geometry, DFT GGA+U; energy = -5.716 eV/atom; crystal system = monoclinic; size of the total moment = 0.9 μB per formula unit
1.0
-10.589 -6.006 16.636
-1.148 -2.125 -1.498
4.036 -3.610 2.027
Li Fe Co O
8 3 7 20
direct
0.108 0.500 0.235 Li
0.289 0.500 0.563 Li
0.400 0.000 0.785 Li
0.499 0.500 0.998 Li
0.605 0.000 0.216 Li
0.795 0.000 0.583 Li
0.902 0.500 0.801 Li
0.000 0.000 0.016 Li
0.400 0.000 0.290 Fe
0.601 0.000 0.694 Fe
0.800 0.000 0.106 Fe
0.000 0.000 0.511 Co
0.099 0.500 0.709 Co
0.199 0.000 0.900 Co
0.299 0.500 0.090 Co
0.500 0.500 0.496 Co
0.701 0.500 0.901 Co
0.901 0.500 0.304 Co
0.005 0.500 0.739 O
0.093 0.000 0.490 O
0.106 0.000 0.936 O
0.206 0.500 0.112 O
0.193 0.500 0.688 O
0.306 0.000 0.310 O
0.292 0.000 0.864 O
0.394 0.500 0.057 O
0.405 0.500 0.520 O
0.497 0.000 0.268 O
0.505 0.000 0.724 O
0.593 0.500 0.472 O
0.608 0.500 0.927 O
0.705 0.000 0.114 O
0.696 0.000 0.687 O
0.808 0.500 0.328 O
0.793 0.500 0.873 O
0.897 0.000 0.076 O
0.905 0.000 0.531 O
0.996 0.500 0.286 O